1.
Here is a relaxed structure of CoPtRh from Alexandria. Energies are from PBE-GGA.

abc: 5.135 5.135 12.315
angles: 90.00 90.00 120.00
Last column: magnetic moment on the atom in μB.
Atoms (fractional coordinates):
Co  0.626  0.374  0.500  1.92
Co  0.374  0.626  0.500  1.92
Co  0.374  0.748  0.167  1.92
Co  0.748  0.374  0.833  1.92
Co  0.252  0.626  0.833  1.92
Co  0.626  0.252  0.167  1.92
Pt  0.000  0.500  0.642  0.34
Pt  0.500  0.500  0.308  0.34
Pt  0.000  0.500  0.025  0.34
Pt  0.500  0.000  0.975  0.34
Pt  0.500  0.000  0.358  0.34
Pt  0.500  0.500  0.692  0.34
Rh  0.500  0.000  0.667  0.66
Rh  0.500  0.500  0.000  0.66
Rh  0.000  0.000  0.500  1.19
Rh  0.000  0.500  0.333  0.66
Rh  0.000  0.000  0.833  1.19
Rh  0.000  0.000  0.167  1.19

- ρ (g/cm3) = 12.64
- spin magnetization (Bohr magnetons per cell) = 19.009
- E_form (eV/atom) = 0.4345
- space group = P6_222
- E (eV/atom) = -6.3982


2.
Here is a relaxed structure of Co2PtRh from Alexandria. Energies are from PBE-GGA.

abc: 4.550 6.006 2.678
angles: 63.46 90.03 121.90
Last column: magnetic moment on the atom in μB.
Atoms (fractional coordinates):
Co  0.000  0.000  0.000  1.89
Co  0.000  0.500  0.500  1.89
Pt  0.500  0.500  0.000  0.41
Rh  0.500  0.000  0.500  0.79

- ρ (g/cm3) = 13.07
- spin magnetization (Bohr magnetons per cell) = 4.886
- E_form (eV/atom) = -0.0171
- space group = Cmmm
- E (eV/atom) = -6.9181


3.
Here is a relaxed structure of Co2PtRh2 from Alexandria. Energies are from PBE-GGA.

abc: 3.335 3.335 6.836
angles: 75.88 75.88 90.00
Last column: magnetic moment on the atom in μB.
Atoms (fractional coordinates):
Co  0.750  0.250  0.500  1.72
Co  0.250  0.750  0.500  1.72
Rh  0.397  0.397  0.205  0.29
Rh  0.603  0.603  0.795  0.29
Pt  0.000  0.000  0.000  -0.01

- ρ (g/cm3) = 12.07
- spin magnetization (Bohr magnetons per cell) = 3.986
- E_form (eV/atom) = 0.3277
- space group = I4/mmm
- E (eV/atom) = -6.6633


4.
Here is a relaxed structure of CoPt2Rh from Alexandria. Energies are from PBE-GGA.

abc: 9.005 9.005 9.005
angles: 17.45 17.45 17.45
Last column: magnetic moment on the atom in μB.
Atoms (fractional coordinates):
Pt  0.248  0.248  0.248  0.07
Pt  0.006  0.006  0.006  0.18
Rh  0.494  0.494  0.494  0.71
Co  0.752  0.752  0.752  1.95

- ρ (g/cm3) = 15.99
- spin magnetization (Bohr magnetons per cell) = 2.895
- E_form (eV/atom) = -0.0395
- space group = R3m
- E (eV/atom) = -6.6743